This record from Alexandria describes an optimized crystal structure of YTlAs3. The functional is PBE.

Cell: 5.4772 5.4772 5.4772 Å, 90.00 90.00 90.00°
With the nearest neighbours (Å) after each atom.
Space group Pm-3m (No. 221)
Inequivalent atoms, fractional coordinates:
Y (0.0000, 0.0000, 0.0000)  6 As 2.74
Tl (0.5000, 0.5000, 0.5000)  12 As 3.87
As (0.0000, 0.0000, 0.5000)  2 Y 2.74

For the formation energy from the elements, the calculation gives 0.171 eV per atom. Its density of states at the Fermi level is 1.105 states/eV/atom. The value obtained for the total energy is -21.92 eV/cell.

=====

This record from Alexandria describes an optimized crystal structure of Y2TlAs. The functional is PBE.

Cell: 3.8336 4.6264 12.0617 Å, 90.00 90.00 90.00°
With the nearest neighbours (Å) after each atom.
Space group Imm2 (No. 44)
Inequivalent atoms, fractional coordinates:
Y (0.0000, 0.0000, 0.0000)  2 As 3.02, 4 Tl 3.13
Y (0.0000, 0.5000, 0.2264)  4 As 3.03, 2 Tl 3.34
Tl (0.0000, 0.0000, 0.4257)  6 Y 3.13-3.34, 2 As 3.39
As (0.0000, 0.5000, 0.6936)  6 Y 3.02-3.03

For the formation energy from the elements, the calculation gives -0.656 eV per atom. Its density of states at the Fermi level is 0.706 states/eV/atom. The value obtained for the total energy is -45.13 eV/cell.

=====

This record from Alexandria describes an optimized crystal structure of Y2TlAs. The functional is PBE.

Cell: 3.5792 3.7133 7.8044 Å, 90.00 97.17 90.00°
With the nearest neighbours (Å) after each atom.
Space group P2/m (No. 10)
Inequivalent atoms, fractional coordinates:
Y (0.0713, 0.0000, 0.2776)  2 As 2.85
Tl (0.5000, 0.5000, 0.0000)  8 Y 3.35-3.37, 4 Tl 3.58-3.71
As (0.5000, 0.5000, 0.5000)  4 Y 2.85

For the formation energy from the elements, the calculation gives -0.739 eV per atom. Its density of states at the Fermi level is 0.597 states/eV/atom. The value obtained for the total energy is -22.90 eV/cell.

=====

This record from Alexandria describes an optimized crystal structure of YTl2As2. The functional is PBE.

Cell: 7.3477 7.3477 4.9916 Å, 90.00 90.00 90.00°
With the nearest neighbours (Å) after each atom.
Space group P4/mbm (No. 127)
Inequivalent atoms, fractional coordinates:
Y (0.0000, 0.0000, 0.0000)  4 As 2.93
Tl (0.1941, 0.3059, 0.5000)  6 As 3.15-3.44
As (0.1204, 0.6204, 0.0000)  1 As 2.50

For the formation energy from the elements, the calculation gives -0.334 eV per atom. Its density of states at the Fermi level is 0.541 states/eV/atom. The value obtained for the total energy is -44.33 eV/cell.

=====

This record from Alexandria describes an optimized crystal structure of Y2TlAs. The functional is PBE.

Cell: 4.0064 4.0064 25.7727 Å, 90.00 90.00 120.00°
With the nearest neighbours (Å) after each atom.
Space group R3m (No. 160, hexagonal axes)
Inequivalent atoms, fractional coordinates:
Y (0.0000, 0.0000, 0.0000)  3 As 2.86
Y (0.0000, 0.0000, 0.2254)  3 Tl 3.37, 3 Y 3.62
Tl (0.0000, 0.0000, 0.4638)  3 As 2.86
As (0.0000, 0.0000, 0.7320)  3 Tl 2.86, 3 Y 2.86

For the formation energy from the elements, the calculation gives -0.244 eV per atom. Its density of states at the Fermi level is 0.836 states/eV/atom. The value obtained for the total energy is -62.76 eV/cell.

=====

This record from Alexandria describes an optimized crystal structure of YTlAs3. The functional is PBE.

Cell: 5.2270 5.2270 5.2270 Å, 90.00 90.00 90.00°
With the nearest neighbours (Å) after each atom.
Space group Pm-3m (No. 221)
Inequivalent atoms, fractional coordinates:
Y (0.0000, 0.0000, 0.0000)  12 As 3.70
Tl (0.5000, 0.5000, 0.5000)  6 As 2.61
As (0.0000, 0.5000, 0.5000)  2 Tl 2.61

For the formation energy from the elements, the calculation gives 0.535 eV per atom. Its density of states at the Fermi level is 0.858 states/eV/atom. The value obtained for the total energy is -20.10 eV/cell.

=====

This record from Alexandria describes an optimized crystal structure of Y2TlAs. The functional is PBE.

Cell: 7.9620 7.9620 7.0722 Å, 90.00 90.00 90.00°
With the nearest neighbours (Å) after each atom.
Space group I-42d (No. 122)
Inequivalent atoms, fractional coordinates:
Y (0.2225, 0.7500, 0.1250)  2 As 2.81, 2 Tl 3.10
Tl (0.0000, 0.0000, 0.5000)  4 Y 3.10
As (0.0000, 0.0000, 0.0000)  4 Y 2.81

For the formation energy from the elements, the calculation gives -0.597 eV per atom. Its density of states at the Fermi level is 0.324 states/eV/atom. The value obtained for the total energy is -89.32 eV/cell.

=====

This record from Alexandria describes an optimized crystal structure of YTl3As. The functional is PBE.

Cell: 5.4476 5.4476 5.4476 Å, 90.00 90.00 90.00°
With the nearest neighbours (Å) after each atom.
Space group Pm-3m (No. 221)
Inequivalent atoms, fractional coordinates:
Y (0.0000, 0.0000, 0.0000)  12 Tl 3.85
Tl (0.0000, 0.5000, 0.5000)  2 As 2.72
As (0.5000, 0.5000, 0.5000)  6 Tl 2.72

For the formation energy from the elements, the calculation gives 0.393 eV per atom. Its density of states at the Fermi level is 1.160 states/eV/atom. The value obtained for the total energy is -16.25 eV/cell.

=====

This record from Alexandria describes an optimized crystal structure of Y2TlAs. The functional is PBE.

Cell: 4.9109 4.9109 8.3223 Å, 90.00 90.00 90.00°
With the nearest neighbours (Å) after each atom.
Space group I4/mmm (No. 139)
Inequivalent atoms, fractional coordinates:
Y (0.0000, 0.5000, 0.2500)  4 Tl 3.22, 4 As 3.22, 4 Y 3.47
Tl (0.0000, 0.0000, 0.0000)  8 Y 3.22, 4 As 3.47
As (0.0000, 0.0000, 0.5000)  8 Y 3.22, 4 Tl 3.47

For the formation energy from the elements, the calculation gives -0.589 eV per atom. Its density of states at the Fermi level is 0.948 states/eV/atom. The value obtained for the total energy is -44.60 eV/cell.

=====

This record from Alexandria describes an optimized crystal structure of Y2TlAs. The functional is PBE.

Cell: 7.4115 7.4115 7.4115 Å, 90.00 90.00 90.00°
With the nearest neighbours (Å) after each atom.
Space group Fm-3m (No. 225)
Inequivalent atoms, fractional coordinates:
Y (0.2500, 0.2500, 0.2500)  4 Tl 3.21, 4 As 3.21
Tl (0.0000, 0.0000, 0.0000)  8 Y 3.21
As (0.0000, 0.0000, 0.5000)  8 Y 3.21

For the formation energy from the elements, the calculation gives -0.554 eV per atom. Its density of states at the Fermi level is 1.120 states/eV/atom. The value obtained for the total energy is -88.63 eV/cell.

=====

This record from Alexandria describes an optimized crystal structure of Y2TlAs. The functional is PBE.

Cell: 6.9489 4.0060 8.2521 Å, 90.00 106.18 90.00°
With the nearest neighbours (Å) after each atom.
Space group C2/m (No. 12)
Inequivalent atoms, fractional coordinates:
Y (0.2364, 0.0000, 0.2111)  3 As 2.85-2.86
Tl (0.0000, 0.0000, 0.5000)  6 Y 3.25-3.26
As (0.0000, 0.5000, 0.0000)  6 Y 2.85-2.86

For the formation energy from the elements, the calculation gives -0.930 eV per atom. Its density of states at the Fermi level is 0.483 states/eV/atom. The value obtained for the total energy is -47.33 eV/cell.

=====

This record from Alexandria describes an optimized crystal structure of YTl3As. The functional is PBE.

Cell: 5.8487 5.8487 5.8487 Å, 90.00 90.00 90.00°
With the nearest neighbours (Å) after each atom.
Space group Pm-3m (No. 221)
Inequivalent atoms, fractional coordinates:
Y (0.0000, 0.0000, 0.0000)  6 Tl 2.92
Tl (0.0000, 0.0000, 0.5000)  2 Y 2.92
As (0.5000, 0.5000, 0.5000)  12 Tl 4.14

For the formation energy from the elements, the calculation gives 0.748 eV per atom. Its density of states at the Fermi level is 1.173 states/eV/atom. The value obtained for the total energy is -14.47 eV/cell.